The following is a PBE calculation of a relaxed Y3RuPb crystal, from Alexandria via LeMat-Bulk.

## Properties
Energy above the lowest structure with this stoichiometry, eV per atom: 0.012
DOS(E_F), states/eV/f.u.: 3.056
Calculated formation energy, meV per atom: -399.3
VASP energy, eV per atom: -6.875
Spin magnetization, μB/cell: 0.00

Lattice parameters (Å, degrees): 5.401 6.425 8.699 97.53 99.28 112.93
Space group P-1 (No. 2)
Inequivalent atoms, fractional coordinates:
Y: 0.025 0.121 0.287 [2 per cell]
Y: 0.291 0.789 0.093 [2 per cell]
Y: 0.317 0.479 0.747 [2 per cell]
Ru: 0.241 0.239 0.000 [2 per cell]
Pb: 0.329 0.736 0.459 [2 per cell]

=====

The following is a PBE calculation of a relaxed Y4RuPb crystal, from Alexandria via LeMat-Bulk.

## Properties
Energy above the lowest structure with this stoichiometry, eV per atom: 0.000
DOS(E_F), states/eV/f.u.: 5.752
Calculated formation energy, meV per atom: -407.4
VASP energy, eV per atom: -6.881
Spin magnetization, μB/cell: 0.00

Lattice parameters (Å, degrees): 9.008 13.522 6.184 90.00 114.50 90.00
Space group C2/c (No. 15)
Inequivalent atoms, fractional coordinates:
Y: 0.111 0.168 0.068 [8 per cell]
Y: 0.222 0.430 0.339 [8 per cell]
Ru: 0.000 0.000 0.250 [4 per cell]
Pb: 0.000 0.370 0.750 [4 per cell]

=====

The following is a PBE calculation of a relaxed Y3RuPb crystal, from Alexandria via LeMat-Bulk.

## Properties
Energy above the lowest structure with this stoichiometry, eV per atom: 0.276
DOS(E_F), states/eV/f.u.: 4.959
Calculated formation energy, meV per atom: -135.5
VASP energy, eV per atom: -6.611
Spin magnetization, μB/cell: 0.00

Lattice parameters (Å, degrees): 13.877 13.877 13.877 90.00 90.00 90.00
Space group Fd-3m (No. 227, origin choice 2)
Inequivalent atoms, fractional coordinates:
Y: 0.081 0.375 0.375 [48 per cell]
Ru: 0.000 0.000 0.000 [16 per cell]
Pb: 0.000 0.000 0.500 [16 per cell]

=====

The following is a PBE calculation of a relaxed Y3RuPb crystal, from Alexandria via LeMat-Bulk.

## Properties
Energy above the lowest structure with this stoichiometry, eV per atom: 0.008
DOS(E_F), states/eV/f.u.: 2.527
Calculated formation energy, meV per atom: -404.2
VASP energy, eV per atom: -6.879
Spin magnetization, μB/cell: 0.00

Lattice parameters (Å, degrees): 6.363 10.483 8.208 90.00 90.00 90.00
Space group Cmme (No. 67)
Inequivalent atoms, fractional coordinates:
Y: 0.000 0.081 0.171 [8 per cell]
Y: 0.000 0.250 0.710 [4 per cell]
Ru: 0.250 0.250 0.000 [4 per cell]
Pb: 0.250 0.000 0.500 [4 per cell]